No. 1
Below is Ca2AlCd2Pd5 after structural relaxation, with properties calculated at the PBE level.

Structure (POSCAR):
```
Ca2AlCd2Pd5
1.0
10.842 0.000 0.000
0.000 10.842 0.000
0.000 0.000 3.313
Ca Al Cd Pd
4 2 4 10
direct
0.166 0.334 0.000
0.334 0.834 0.000
0.666 0.166 0.000
0.834 0.666 0.000
0.000 0.000 0.000
0.500 0.500 0.000
0.139 0.639 0.000
0.361 0.139 0.000
0.639 0.861 0.000
0.861 0.361 0.000
0.000 0.500 0.500
0.040 0.817 0.500
0.183 0.040 0.500
0.317 0.540 0.500
0.460 0.317 0.500
0.500 0.000 0.500
0.540 0.683 0.500
0.683 0.460 0.500
0.817 0.960 0.500
0.960 0.183 0.500
```

## Properties
Density   7.37 g/cm3
Energy relative to the elements   -53.0 kJ per mole of atoms
Total magnetic moment   0.000 μB/f.u.

---

No. 2
Below is Ca2Al2CdPd5 after structural relaxation, with properties calculated at the PBE level.

Structure (POSCAR):
```
Ca2Al2CdPd5
1.0
10.086 0.000 0.000
0.000 10.086 0.000
0.000 0.000 3.640
Ca Al Cd Pd
4 4 2 10
direct
0.177 0.323 0.000
0.323 0.823 0.000
0.677 0.177 0.000
0.823 0.677 0.000
0.121 0.621 0.000
0.379 0.121 0.000
0.621 0.879 0.000
0.879 0.379 0.000
0.000 0.000 0.000
0.500 0.500 0.000
0.000 0.500 0.500
0.067 0.788 0.500
0.212 0.067 0.500
0.288 0.567 0.500
0.433 0.288 0.500
0.500 0.000 0.500
0.567 0.712 0.500
0.712 0.433 0.500
0.788 0.933 0.500
0.933 0.212 0.500
```

## Properties
Density   6.98 g/cm3
Energy relative to the elements   -68.7 kJ per mole of atoms
Total magnetic moment   0.000 μB/f.u.

---

No. 3
Below is Ca2Al3CdPt4 after structural relaxation, with properties calculated at the PBE level.

Structure (POSCAR):
```
Ca2Al3CdPt4
1.0
4.336 0.000 0.000
0.000 4.336 0.000
0.000 0.000 10.547
Ca Al Cd Pt
2 3 1 4
direct
0.000 0.500 0.241
0.500 0.000 0.759
0.000 0.500 0.881
0.500 0.000 0.119
0.500 0.500 0.500
0.000 0.000 0.500
0.000 0.000 0.000
0.000 0.500 0.650
0.500 0.000 0.350
0.500 0.500 0.000
```

## Properties
Density   8.83 g/cm3
Energy relative to the elements   -86.9 kJ per mole of atoms
Total magnetic moment   0.000 μB/f.u.

---

No. 4
Below is Ca2Al4CdPt3 after structural relaxation, with properties calculated at the PBE level.

Structure (POSCAR):
```
Ca2Al4CdPt3
1.0
4.230 0.000 0.000
0.000 4.230 0.000
0.000 0.000 11.023
Ca Al Cd Pt
2 4 1 3
direct
0.000 0.500 0.241
0.500 0.000 0.759
0.000 0.000 0.000
0.000 0.500 0.645
0.500 0.000 0.355
0.500 0.500 0.000
0.000 0.000 0.500
0.000 0.500 0.871
0.500 0.000 0.129
0.500 0.500 0.500
```

## Properties
Density   7.46 g/cm3
Energy relative to the elements   -79.0 kJ per mole of atoms
Total magnetic moment   0.000 μB/f.u.

---

No. 5
Below is CaSmAlCd after structural relaxation, with properties calculated at the PBE level.

Structure (POSCAR):
```
CaSmAlCd
1.0
3.677 0.000 0.000
0.000 3.677 0.000
0.000 0.000 7.861
Ca Sm Al Cd
1 1 1 1
direct
0.000 0.000 0.000
0.000 0.000 0.479
0.500 0.500 0.244
0.500 0.500 0.744
```

## Properties
Density   5.15 g/cm3
Distance to the lowest polymorph of the same formula   5 meV per atom
Energy relative to the elements   -31.0 kJ per mole of atoms
Total magnetic moment   0.000 μB/f.u.

---

No. 6
Below is CaSmAlCd after structural relaxation, with properties calculated at the PBE level.

Structure (POSCAR):
```
CaSmAlCd
1.0
0.000 3.761 3.761
3.761 0.000 3.761
3.761 3.761 0.000
Ca Sm Al Cd
1 1 1 1
direct
0.000 0.000 0.000
0.500 0.500 0.500
0.750 0.750 0.750
0.250 0.250 0.250
```

## Properties
Density   5.15 g/cm3
Distance to the lowest polymorph of the same formula   0 meV per atom
Energy relative to the elements   -31.5 kJ per mole of atoms
Total magnetic moment   0.000 μB/f.u.

---

No. 7
Below is CaThAlCd after structural relaxation, with properties calculated at the PBE level.

Structure (POSCAR):
```
CaThAlCd
1.0
0.000 3.777 3.777
3.777 0.000 3.777
3.777 3.777 0.000
Ca Th Al Cd
1 1 1 1
direct
0.000 0.000 0.000
0.500 0.500 0.500
0.250 0.250 0.250
0.750 0.750 0.750
```

## Properties
Density   6.34 g/cm3
Energy relative to the elements   -15.9 kJ per mole of atoms
Total magnetic moment   0.000 μB/f.u.

---

No. 8
Below is CaAlTlCd after structural relaxation, with properties calculated at the PBE level.

Structure (POSCAR):
```
CaAlTlCd
1.0
0.000 3.656 3.656
3.656 0.000 3.656
3.656 3.656 0.000
Ca Al Tl Cd
1 1 1 1
direct
0.000 0.000 0.000
0.500 0.500 0.500
0.750 0.750 0.750
0.250 0.250 0.250
```

## Properties
Density   6.52 g/cm3
Energy relative to the elements   -12.8 kJ per mole of atoms
Total magnetic moment   0.000 μB/f.u.

---

Q: Which value of energy relative to the elements does entry 1 give?
A: -53.0 kJ per mole of atoms